# 1
## Ru2PbW (GGA-PBEsol)

Data for a relaxed structure of Ru2PbW.

a b c (Å): 2.9217 4.0599 5.5242
angles (deg): 90.00 90.34 90.00
Last column: nearest neighbours and their distance in Å.
Fractional positions:
Ru  0.0000  0.0000  0.0000  4 W 2.60-2.78, 2 Pb 2.75-2.78, 2 Ru 2.87
Ru  0.4710  0.5000  0.7313  1 W 2.46
Pb  0.9632  0.0000  0.4972  6 Ru 2.75-2.82, 2 Pb 2.92, 2 W 3.05
W  0.4452  0.5000  0.1760  3 Ru 2.46-2.60

Output
For the formation energy, the calculation gives 582 meV per atom.



# 2
## SrTl2Ni2 (GGA-PBEsol)

Data for a relaxed structure of SrTl2Ni2.

a b c (Å): 6.0680 6.0680 6.0680
angles (deg): 135.00 135.00 65.53
Last column: nearest neighbours and their distance in Å.
Fractional positions:
Sr  0.0000  0.0000  0.0000  8 Ni 3.45, 10 Tl 3.60-3.61
Tl  0.3528  0.3528  0.0000  4 Ni 2.55
Tl  0.6472  0.6472  0.0000  4 Ni 2.55
Ni  0.2500  0.7500  0.5000  4 Tl 2.55
Ni  0.7500  0.2500  0.5000  4 Tl 2.55

Output
For the formation energy, the calculation gives -12 meV per atom.



# 3
## Y2HgRu (GGA-PBEsol)

Data for a relaxed structure of Y2HgRu.

a b c (Å): 4.9275 4.9275 3.5367
angles (deg): 90.00 90.00 90.00
Last column: nearest neighbours and their distance in Å.
Fractional positions:
Y  0.0000  0.5000  0.0000  4 Hg 3.03, 4 Ru 3.03
Y  0.5000  0.0000  0.0000  4 Hg 3.03, 4 Ru 3.03
Hg  0.0000  0.0000  0.5000  8 Y 3.03
Ru  0.5000  0.5000  0.5000  8 Y 3.03

Output
For the formation energy, the calculation gives -376 meV per atom.



# 4
## MnTl2Zn (GGA-PBEsol)

Data for a relaxed structure of MnTl2Zn.

a b c (Å): 8.9690 8.9690 8.9690
angles (deg): 21.08 21.08 21.08
Last column: nearest neighbours and their distance in Å.
Fractional positions:
Mn  0.0000  0.0000  0.0000  6 Tl 2.88
Tl  0.2509  0.2509  0.2509  3 Mn 2.88, 3 Zn 2.92
Tl  0.7491  0.7491  0.7491  3 Mn 2.88, 3 Zn 2.92
Zn  0.5000  0.5000  0.5000  6 Tl 2.92

Output
For the formation energy, the calculation gives 455 meV per atom.



# 5
## ZnP2PdBr (GGA-PBEsol)

Data for a relaxed structure of ZnP2PdBr.

a b c (Å): 4.8511 4.8511 4.6268
angles (deg): 90.00 90.00 90.00
Last column: nearest neighbours and their distance in Å.
Fractional positions:
Zn  0.0000  0.0000  0.0000  8 P 3.35, 4 Pd 3.43
P  0.0000  0.5000  0.5000  2 Br 2.43
P  0.5000  0.0000  0.5000  2 Br 2.43
Pd  0.5000  0.5000  0.0000  2 Br 2.31
Br  0.5000  0.5000  0.5000  2 Pd 2.31, 4 P 2.43

Output
The calculation puts the uncorrected formation energy at 6.589 eV/f.u.



# 6
## MnBeTl (GGA-PBEsol)

Data for a relaxed structure of MnBeTl.

a b c (Å): 5.6098 5.6098 5.6098
angles (deg): 149.64 149.64 43.47
Last column: nearest neighbours and their distance in Å.
Fractional positions:
Mn  0.0000  0.0000  0.0000  4 Be 2.35
Be  0.3937  0.3937  0.0000  4 Mn 2.35
Tl  0.7014  0.7014  0.0000  5 Be 2.89-3.21, 4 Tl 2.94, 5 Mn 2.95-3.11

Output
For the formation energy, the calculation gives 534 meV per atom.



# 7
## Zn2CoOs (GGA-PBEsol)

Data for a relaxed structure of Zn2CoOs.

a b c (Å): 2.6222 3.5907 5.3477
angles (deg): 90.00 90.00 90.00
Last column: nearest neighbours and their distance in Å.
Fractional positions:
Zn  0.0000  0.0000  0.0000  6 Zn 2.58-2.62, 2 Co 2.65-2.69, 4 Os 2.67
Zn  0.5000  0.5000  0.2461  2 Os 2.56-2.79, 6 Zn 2.58-2.62, 4 Co 2.62
Co  0.0000  0.0000  0.5038  4 Os 2.52, 6 Zn 2.62-2.69, 2 Co 2.62
Os  0.5000  0.5000  0.7248  4 Co 2.52, 6 Zn 2.56-2.79, 2 Os 2.62

Output
The value obtained for the energy above the most stable polymorph in this dataset is 0.0000 eV per atom. For the formation energy, the calculation gives 138 meV per atom.



# 8
## Li5Hg3 (GGA-PBEsol)

Data for a relaxed structure of Li5Hg3.

a b c (Å): 7.8565 7.8565 7.8565
angles (deg): 96.55 96.55 140.52
Last column: nearest neighbours and their distance in Å.
Fractional positions:
Li  0.0787  0.7723  0.8511  6 Hg 2.75-3.02, 1 Li 2.86
Li  0.2277  0.0787  0.3064  6 Hg 2.75-3.02, 1 Li 2.86
Li  0.2500  0.7500  0.5000  2 Li 2.65, 4 Hg 2.79
Li  0.2723  0.5787  0.8511  6 Hg 2.75-3.02, 1 Li 2.86
Li  0.4213  0.2723  0.6936  6 Hg 2.75-3.02, 1 Li 2.86
Li  0.5787  0.7277  0.3064  6 Hg 2.75-3.02, 1 Li 2.86
Li  0.7277  0.4213  0.1489  6 Hg 2.75-3.02, 1 Li 2.86
Li  0.7500  0.2500  0.5000  2 Li 2.65, 4 Hg 2.79
Li  0.7723  0.9213  0.6936  6 Hg 2.75-3.02, 1 Li 2.86
Li  0.9213  0.2277  0.1489  6 Hg 2.75-3.02, 1 Li 2.86
Hg  0.1657  0.3343  0.5000  10 Li 2.75-3.02
Hg  0.2500  0.2500  0.0000  2 Hg 2.65, 8 Li 2.85
Hg  0.3343  0.8343  0.1687  10 Li 2.75-3.02
Hg  0.6657  0.1657  0.8313  10 Li 2.75-3.02
Hg  0.7500  0.7500  0.0000  2 Hg 2.65, 8 Li 2.85
Hg  0.8343  0.6657  0.5000  10 Li 2.75-3.02

Output
For the formation energy, the calculation gives -327 meV per atom.



The DOS(E_F) results, record by record, are as follows: 4.17; 3.22; 2.39; 2.74; 5.70; 1.60; 3.54; 5.61 states/eV per cell.